Entry 1:
Material: HoEr3Se4
Method: DFT, GGA-PBE
State: optimized geometry

Output
Total magnetization in μB/f.u.: 0.000
Relative energy among the computed polymorphs in meV per atom: 0
D(E_F) in states/eV/atom: 0.432

Unit cell a=7.030 b=7.990 c=7.032 alpha=90.00 beta=109.19 gamma=90.00
Positions (direct):
1 Ho 0.000 0.125 0.250
2 Ho 0.000 0.875 0.750
3 Er 0.000 0.375 0.750
4 Er 0.000 0.625 0.250
5 Er 0.500 0.125 0.750
6 Er 0.500 0.375 0.250
7 Er 0.500 0.625 0.750
8 Er 0.500 0.875 0.250
9 Se 0.250 0.376 0.501
10 Se 0.250 0.624 0.001
11 Se 0.251 0.126 0.000
12 Se 0.251 0.874 0.500
13 Se 0.749 0.126 0.500
14 Se 0.749 0.874 0.000
15 Se 0.750 0.376 0.999
16 Se 0.750 0.624 0.499



Entry 2:
Material: Ho3ErSe6
Method: DFT, GGA-PBE
State: optimized geometry

Output
Total magnetization in μB/f.u.: 0.000
Relative energy among the computed polymorphs in meV per atom: 0
D(E_F) in states/eV/atom: 0.000

Unit cell a=7.669 b=7.669 c=7.669 alpha=55.64 beta=55.64 gamma=55.64
Positions (direct):
1 Ho 0.000 0.000 0.000
2 Ho 0.195 0.195 0.195
3 Ho 0.500 0.500 0.500
4 Er 0.695 0.695 0.695
5 Se 0.096 0.405 0.792
6 Se 0.293 0.903 0.597
7 Se 0.405 0.792 0.096
8 Se 0.597 0.293 0.903
9 Se 0.792 0.096 0.405
10 Se 0.903 0.597 0.293



Entry 3:
Material: HoEr5Se6
Method: DFT, GGA-PBE
State: optimized geometry

Output
Total magnetization in μB/f.u.: 0.000
D(E_F) in states/eV/atom: 0.402

Unit cell a=7.013 b=7.013 c=6.978 alpha=99.65 beta=99.65 gamma=120.18
Positions (direct):
1 Ho 0.000 0.000 0.000
2 Er 0.166 0.834 0.500
3 Er 0.334 0.666 0.000
4 Er 0.500 0.500 0.500
5 Er 0.666 0.334 0.000
6 Er 0.834 0.166 0.500
7 Se 0.083 0.418 0.251
8 Se 0.251 0.251 0.750
9 Se 0.418 0.083 0.251
10 Se 0.582 0.917 0.749
11 Se 0.749 0.749 0.250
12 Se 0.917 0.582 0.749



Entry 4:
Material: HoErSe2
Method: DFT, GGA-PBE
State: optimized geometry

Output
Total magnetization in μB/f.u.: 0.000
Relative energy among the computed polymorphs in meV per atom: 345
D(E_F) in states/eV/atom: 0.260

Unit cell a=4.222 b=9.102 c=6.375 alpha=90.00 beta=90.00 gamma=90.00
Positions (direct):
1 Ho 0.000 0.166 0.000
2 Ho 0.500 0.834 0.500
3 Er 0.000 0.583 0.136
4 Er 0.500 0.417 0.636
5 Se 0.000 0.329 0.365
6 Se 0.000 0.903 0.243
7 Se 0.500 0.097 0.743
8 Se 0.500 0.671 0.865



Entry 5:
Material: HoErSiSe
Method: DFT, GGA-PBE
State: optimized geometry

Output
Total magnetization in μB/f.u.: 0.000
D(E_F) in states/eV/atom: 0.291

Unit cell a=7.147 b=7.147 c=7.147 alpha=33.12 beta=33.12 gamma=33.12
Positions (direct):
1 Ho 0.000 0.000 0.000
2 Er 0.490 0.490 0.490
3 Si 0.745 0.745 0.745
4 Se 0.245 0.245 0.245



Entry 6:
Material: Sm2Ho3ErSe6
Method: DFT, GGA-PBE
State: optimized geometry

Output
Total magnetization in μB/f.u.: 0.000
D(E_F) in states/eV/atom: 0.466

Unit cell a=9.150 b=9.150 c=8.230 alpha=103.21 beta=103.21 gamma=25.73
Positions (direct):
1 Sm 0.169 0.169 0.336
2 Sm 0.831 0.831 0.664
3 Ho 0.170 0.170 0.833
4 Ho 0.500 0.500 0.500
5 Ho 0.830 0.830 0.167
6 Er 0.500 0.500 0.000
7 Se 0.003 0.003 0.753
8 Se 0.336 0.336 0.925
9 Se 0.337 0.337 0.411
10 Se 0.663 0.663 0.589
11 Se 0.664 0.664 0.075
12 Se 0.997 0.997 0.247



Entry 7:
Material: SmHo2Er3Se6
Method: DFT, GGA-PBE
State: optimized geometry

Output
Total magnetization in μB/f.u.: 0.000
D(E_F) in states/eV/atom: 0.461

Unit cell a=9.092 b=9.092 c=8.175 alpha=103.30 beta=103.30 gamma=25.73
Positions (direct):
1 Sm 0.000 0.000 0.000
2 Ho 0.335 0.335 0.670
3 Ho 0.665 0.665 0.330
4 Er 0.000 0.000 0.500
5 Er 0.336 0.336 0.166
6 Er 0.664 0.664 0.834
7 Se 0.167 0.167 0.584
8 Se 0.171 0.171 0.084
9 Se 0.500 0.500 0.259
10 Se 0.500 0.500 0.741
11 Se 0.829 0.829 0.916
12 Se 0.833 0.833 0.416



Entry 8:
Material: SmHo4ErSe8
Method: DFT, GGA-PBE
State: optimized geometry

Output
Total magnetization in μB/f.u.: 0.000
D(E_F) in states/eV/atom: 0.629

Unit cell a=8.407 b=8.407 c=8.407 alpha=60.04 beta=60.04 gamma=60.04
Positions (direct):
1 Sm 0.000 0.000 0.000
2 Ho 0.127 0.624 0.624
3 Ho 0.250 0.250 0.250
4 Ho 0.624 0.127 0.624
5 Ho 0.624 0.624 0.127
6 Er 0.624 0.624 0.624
7 Se 0.382 0.382 0.382
8 Se 0.383 0.383 0.853
9 Se 0.383 0.853 0.383
10 Se 0.405 0.864 0.864
11 Se 0.853 0.383 0.383
12 Se 0.864 0.405 0.864
13 Se 0.864 0.864 0.405
14 Se 0.865 0.865 0.865



Entry 9:
Material: Sm2HoErSe5
Method: DFT, GGA-PBE
State: optimized geometry

Output
Total magnetization in μB/f.u.: 0.005
D(E_F) in states/eV/atom: 0.662

Unit cell a=5.110 b=5.110 c=10.679 alpha=90.00 beta=90.00 gamma=90.00
Positions (direct):
1 Sm 0.000 0.000 0.173
2 Sm 0.000 0.000 0.827
3 Ho 0.500 0.500 0.500
4 Er 0.500 0.500 0.000
5 Se 0.000 0.000 0.500
6 Se 0.000 0.500 0.000
7 Se 0.500 0.000 0.000
8 Se 0.500 0.500 0.254
9 Se 0.500 0.500 0.746



Entry 10:
Material: Sm3HoEr2Se6
Method: DFT, GGA-PBE
State: optimized geometry

Output
Total magnetization in μB/f.u.: 0.000
D(E_F) in states/eV/atom: 0.473

Unit cell a=7.074 b=7.074 c=7.205 alpha=99.39 beta=99.39 gamma=120.30
Positions (direct):
1 Sm 0.000 0.000 0.000
2 Sm 0.334 0.666 0.000
3 Sm 0.666 0.334 0.000
4 Ho 0.500 0.500 0.500
5 Er 0.167 0.833 0.500
6 Er 0.833 0.167 0.500
7 Se 0.086 0.421 0.262
8 Se 0.244 0.244 0.737
9 Se 0.421 0.086 0.262
10 Se 0.579 0.914 0.738
11 Se 0.756 0.756 0.263
12 Se 0.914 0.579 0.738



| no. | ΔE_f (raw) (eV/atom) |
| --- | --- |
| 1 | -1.702 |
| 2 | -1.848 |
| 3 | -1.698 |
| 4 | -1.366 |
| 5 | -1.285 |
| 6 | -1.749 |
| 7 | -1.724 |
| 8 | -1.705 |
| 9 | -1.221 |
| 10 | -1.766 |